Entry 1:
The following is a PBE calculation of an optimized crystal structure of AgBi2Se, from the Alexandria database.

Cell lengths 6.1962, 6.1962, 14.7392 Å; angles 90.00, 90.00, 90.00 degrees
Space group I-42d (No. 122)
Symmetry-distinct sites (fractional):
Ag1 0.0000 0.0000 0.0000
Bi1 0.2352 0.2500 0.1250
Se1 0.0000 0.0000 0.5000

Summary:
DFT total energy	-3.317	eV per atom
mass density	7.10	g cm⁻³
ΔE_f (raw)	0.83	eV/f.u.

***

Entry 2:
The following is a PBE calculation of an optimized crystal structure of AgBi3Se6, from the Alexandria database.

Cell lengths 11.7172, 13.2268, 7.2658 Å; angles 90.00, 90.00, 90.00 degrees
Space group Cmc2_1 (No. 36)
Symmetry-distinct sites (fractional):
Ag1 0.0000 0.1494 0.0000
Bi1 0.0000 0.4106 0.6330
Bi2 0.1864 0.1152 0.5023
Se1 0.0000 0.0102 0.7263
Se2 0.0000 0.2338 0.3249
Se3 0.1548 0.2592 0.8036
Se4 0.1653 0.4547 0.3172

Summary:
DFT total energy	-3.702	eV per atom
mass density	7.13	g cm⁻³
ΔE_f (raw)	-1.62	eV/f.u.

***

Entry 3:
The following is a PBE calculation of an optimized crystal structure of Ag4Bi2Se5, from the Alexandria database.

Cell lengths 4.3964, 4.3964, 53.4530 Å; angles 90.00, 90.00, 120.00 degrees
Space group R-3m (No. 166, hexagonal axes)
Symmetry-distinct sites (fractional):
Ag1 0.0000 0.0000 0.0859
Ag2 0.0000 0.0000 0.1911
Bi1 0.0000 0.0000 0.3662
Se1 0.0000 0.0000 0.0000
Se2 0.0000 0.0000 0.1337
Se3 0.0000 0.0000 0.2717

Summary:
DFT total energy	-3.431	eV per atom
mass density	6.93	g cm⁻³
ΔE_f (raw)	-1.16	eV/f.u.

***

Entry 4:
The following is a PBE calculation of an optimized crystal structure of AgBiSe2, from the Alexandria database.

Cell lengths 3.7824, 3.7824, 26.4779 Å; angles 90.00, 90.00, 120.00 degrees
Space group R-3m (No. 166, hexagonal axes)
Symmetry-distinct sites (fractional):
Ag1 0.0000 0.0000 0.0000
Bi1 0.0000 0.0000 0.5000
Se1 0.0000 0.0000 0.3911

Summary:
DFT total energy	-3.325	eV per atom
mass density	7.21	g cm⁻³
ΔE_f (raw)	0.40	eV/f.u.

***

Entry 5:
The following is a PBE calculation of an optimized crystal structure of AgBi2Se, from the Alexandria database.

Cell lengths 3.7161, 3.7161, 29.8506 Å; angles 90.00, 90.00, 120.00 degrees
Space group R-3m (No. 166, hexagonal axes)
Symmetry-distinct sites (fractional):
Ag1 0.0000 0.0000 0.0000
Bi1 0.0000 0.0000 0.0966
Se1 0.0000 0.0000 0.5000

Summary:
DFT total energy	-3.270	eV per atom
mass density	8.44	g cm⁻³
ΔE_f (raw)	1.02	eV/f.u.

***

Entry 6:
The following is a PBE calculation of an optimized crystal structure of AgBiSe2, from the Alexandria database.

Cell lengths 4.2119, 4.2119, 5.7386 Å; angles 90.00, 90.00, 90.00 degrees
Space group P4/mmm (No. 123)
Symmetry-distinct sites (fractional):
Ag1 0.0000 0.0000 0.0000
Bi1 0.5000 0.5000 0.5000
Se1 0.0000 0.0000 0.5000
Se2 0.5000 0.5000 0.0000

Summary:
DFT total energy	-3.601	eV per atom
mass density	7.74	g cm⁻³
ΔE_f (raw)	-0.70	eV/f.u.

***

Entry 7:
The following is a PBE calculation of an optimized crystal structure of AgBi2Se2, from the Alexandria database.

Cell lengths 5.8199, 5.8199, 9.0038 Å; angles 90.00, 90.00, 90.00 degrees
Space group I4/mmm (No. 139)
Symmetry-distinct sites (fractional):
Ag1 0.0000 0.0000 0.0000
Bi1 0.0000 0.0000 0.3154
Se1 0.0000 0.5000 0.2500

Summary:
DFT total energy	-3.488	eV per atom
offset from the most stable computed form	28.8	meV/atom
mass density	7.45	g cm⁻³
ΔE_f (raw)	0.14	eV/f.u.

***

Entry 8:
The following is a PBE calculation of an optimized crystal structure of AgBiSe2, from the Alexandria database.

Cell lengths 6.3351, 6.3351, 13.0821 Å; angles 90.00, 90.00, 90.00 degrees
Space group I-42d (No. 122)
Symmetry-distinct sites (fractional):
Ag1 0.0000 0.0000 0.0000
Bi1 0.0000 0.0000 0.5000
Se1 0.2276 0.2500 0.1250

Summary:
DFT total energy	-3.600	eV per atom
mass density	6.01	g cm⁻³
ΔE_f (raw)	-0.70	eV/f.u.

***

Entry 9:
The following is a PBE calculation of an optimized crystal structure of AgBiSe2, from the Alexandria database.

Cell lengths 4.0659, 4.0659, 21.2000 Å; angles 90.00, 90.00, 120.00 degrees
Space group R3m (No. 160, hexagonal axes)
Symmetry-distinct sites (fractional):
Ag1 0.0000 0.0000 0.0000
Bi1 0.0000 0.0000 0.8331
Se1 0.0000 0.0000 0.4112
Se2 0.0000 0.0000 0.5897

Summary:
DFT total energy	-3.610	eV per atom
mass density	7.79	g cm⁻³
ΔE_f (raw)	-0.74	eV/f.u.

***

Entry 10:
The following is a PBE calculation of an optimized crystal structure of Ag3BiSe4, from the Alexandria database.

Cell lengths 11.0877, 8.1315, 4.2424 Å; angles 90.00, 90.91, 90.00 degrees
Space group C2/m (No. 12)
Symmetry-distinct sites (fractional):
Ag1 0.0000 0.0000 0.0000
Ag2 0.2500 0.2500 0.5000
Bi1 0.0000 0.5000 0.0000
Se1 0.0000 0.2444 0.5000
Se2 0.2389 0.0000 0.8795

Summary:
DFT total energy	-3.433	eV per atom
offset from the most stable computed form	0.0	meV/atom
mass density	7.37	g cm⁻³
ΔE_f (raw)	-1.09	eV/f.u.

***

Entry 11:
The following is a PBE calculation of an optimized crystal structure of AgBi3Se, from the Alexandria database.

Cell lengths 5.4959, 5.4959, 5.4959 Å; angles 90.00, 90.00, 90.00 degrees
Space group Pm-3m (No. 221)
Symmetry-distinct sites (fractional):
Ag1 0.0000 0.0000 0.0000
Bi1 0.0000 0.0000 0.5000
Se1 0.5000 0.5000 0.5000

Summary:
DFT total energy	-2.940	eV per atom
offset from the most stable computed form	5.9	meV/atom
mass density	8.14	g cm⁻³
ΔE_f (raw)	3.28	eV/f.u.

***

Entry 12:
The following is a PBE calculation of an optimized crystal structure of Ag2BiSe3, from the Alexandria database.

Cell lengths 8.0944, 14.2149, 5.4428 Å; angles 90.00, 90.00, 90.00 degrees
Space group Cmcm (No. 63)
Symmetry-distinct sites (fractional):
Ag1 0.2041 0.0000 0.0000
Bi1 0.0000 0.2452 0.2500
Se1 0.0000 0.1274 0.7500
Se2 0.1922 0.3518 0.7500

Summary:
DFT total energy	-3.355	eV per atom
offset from the most stable computed form	137.5	meV/atom
mass density	7.02	g cm⁻³
ΔE_f (raw)	-0.09	eV/f.u.